Compound: Sr3Zn2MoO6
Source: Alexandria via LeMat-Bulk
Functional: PBE with a Hubbard U
Structure: optimized geometry

Calculated values
M_tot: 0.082 μB/atom
total DFT energy (no corrections): -5.62 eV per atom
DOS(E_F): 0.22 states/eV/atom

abc: 5.7475 5.7475 6.6166
angles: 90.00 90.00 120.00
Last column: nearest neighbours and their distance in Å.
Space group P-3m1 (No. 164)
One atom of each set of equivalent atoms:
Sr 0.0000 0.0000 0.0000 [1 per cell]  6 O 2.71
Sr 0.3333 0.6667 0.6303 [2 per cell]  9 O 2.62-2.89
Zn 0.3333 0.6667 0.1417 [2 per cell]  3 O 2.08
Mo 0.0000 0.0000 0.5000 [1 per cell]  6 O 2.00
O 0.1643 0.3286 0.3259 [6 per cell]  1 Mo 2.00, 1 Zn 2.08